No. 1
VASP calculation (PBE-GGA) on LiZnAg2H after structural relaxation.

Properties
total moment	0.000	μB/f.u.
final energy	-2.46	eV/atom
space-group type	P4/mmm, No. 123

abc: 4.1878 4.1878 3.8068
angles: 90.00 90.00 90.00
With the nearest neighbours (Å) after each atom.
Fractional coordinates of all 5 atoms:
Li  0.0000  0.0000  0.0000  2 H 1.90
Zn  0.5000  0.5000  0.0000  8 Ag 2.83, 4 Li 2.96
Ag  0.0000  0.5000  0.5000  2 H 2.09
Ag  0.5000  0.0000  0.5000  2 H 2.09
H  0.0000  0.0000  0.5000  2 Li 1.90, 4 Ag 2.09



No. 2
VASP calculation (PBE-GGA) on Pu3UN7 after structural relaxation.

Properties
total moment	9.000	μB/f.u.
E_form (uncorrected)	-1088	meV/atom
final energy	-11.32	eV/atom
space-group type	Cmcm, No. 63

abc: 6.4909 6.4909 7.4365
angles: 90.00 90.00 109.39
With the nearest neighbours (Å) after each atom.
Fractional coordinates of all 22 atoms:
Pu  0.0000  0.0000  0.0000  8 N 2.34-2.49
Pu  0.0000  0.0000  0.5000  8 N 2.34-2.49
Pu  0.0254  0.5048  0.7500  7 N 2.18-2.37
Pu  0.4952  0.9746  0.7500  7 N 2.18-2.37
Pu  0.5048  0.0254  0.2500  7 N 2.18-2.37
Pu  0.9746  0.4952  0.2500  7 N 2.18-2.37
U  0.5000  0.5000  0.0000  6 N 2.12-2.15
U  0.5000  0.5000  0.5000  6 N 2.12-2.15
N  0.1336  0.8664  0.2500  4 Pu 2.28-2.34
N  0.1391  0.8609  0.7500  4 Pu 2.18-2.37
N  0.1511  0.4052  0.0251  1 U 2.15, 2 Pu 2.21-2.37
N  0.1511  0.4052  0.4749  1 U 2.15, 2 Pu 2.21-2.37
N  0.4034  0.5966  0.7500  2 U 2.12, 2 Pu 2.33
N  0.4052  0.1511  0.5251  1 U 2.15, 2 Pu 2.21-2.37
N  0.4052  0.1511  0.9749  1 U 2.15, 2 Pu 2.21-2.37
N  0.5948  0.8489  0.0251  1 U 2.15, 2 Pu 2.21-2.37
N  0.5948  0.8489  0.4749  1 U 2.15, 2 Pu 2.21-2.37
N  0.5966  0.4034  0.2500  2 U 2.12, 2 Pu 2.33
N  0.8489  0.5948  0.5251  1 U 2.15, 2 Pu 2.21-2.37
N  0.8489  0.5948  0.9749  1 U 2.15, 2 Pu 2.21-2.37
N  0.8609  0.1391  0.2500  4 Pu 2.18-2.37
N  0.8664  0.1336  0.7500  4 Pu 2.28-2.34



No. 3
VASP calculation (PBE-GGA) on Er3Si2Ni2 after structural relaxation.

Properties
total moment	0.000	μB/f.u.
E_form (uncorrected)	-739	meV/atom
final energy	-5.90	eV/atom
space-group type	Pbcm, No. 57

abc: 5.4705 7.6589 12.4026
angles: 90.00 90.00 90.00
With the nearest neighbours (Å) after each atom.
Fractional coordinates of all 28 atoms:
Er  0.1333  0.1071  0.1025  4 Ni 2.79-3.06, 2 Si 2.89-2.90
Er  0.1333  0.1071  0.3975  4 Ni 2.79-3.06, 2 Si 2.89-2.90
Er  0.1333  0.3929  0.6025  4 Ni 2.79-3.06, 2 Si 2.89-2.90
Er  0.1333  0.3929  0.8975  4 Ni 2.79-3.06, 2 Si 2.89-2.90
Er  0.3646  0.7497  0.2500  5 Si 2.86-3.10, 4 Ni 2.93-2.96
Er  0.3646  0.7503  0.7500  5 Si 2.86-3.10, 4 Ni 2.93-2.96
Er  0.6354  0.2497  0.2500  5 Si 2.86-3.10, 4 Ni 2.93-2.96
Er  0.6354  0.2503  0.7500  5 Si 2.86-3.10, 4 Ni 2.93-2.96
Er  0.8667  0.6071  0.1025  4 Ni 2.79-3.06, 2 Si 2.89-2.90
Er  0.8667  0.6071  0.3975  4 Ni 2.79-3.06, 2 Si 2.89-2.90
Er  0.8667  0.8929  0.6025  4 Ni 2.79-3.06, 2 Si 2.89-2.90
Er  0.8667  0.8929  0.8975  4 Ni 2.79-3.06, 2 Si 2.89-2.90
Si  0.1561  0.0998  0.7500  2 Ni 2.40
Si  0.1561  0.4002  0.2500  2 Ni 2.40
Si  0.3556  0.7500  0.0000  4 Ni 2.44-2.46
Si  0.3556  0.7500  0.5000  4 Ni 2.44-2.46
Si  0.6444  0.2500  0.0000  4 Ni 2.44-2.46
Si  0.6444  0.2500  0.5000  4 Ni 2.44-2.46
Si  0.8439  0.5998  0.7500  2 Ni 2.40
Si  0.8439  0.9002  0.2500  2 Ni 2.40
Ni  0.3820  0.0359  0.5890  3 Si 2.40-2.46, 1 Ni 2.61
Ni  0.3820  0.0359  0.9110  3 Si 2.40-2.46, 1 Ni 2.61
Ni  0.3820  0.4641  0.0890  3 Si 2.40-2.46, 1 Ni 2.61
Ni  0.3820  0.4641  0.4110  3 Si 2.40-2.46, 1 Ni 2.61
Ni  0.6180  0.5359  0.5890  3 Si 2.40-2.46, 1 Ni 2.61
Ni  0.6180  0.5359  0.9110  3 Si 2.40-2.46, 1 Ni 2.61
Ni  0.6180  0.9641  0.0890  3 Si 2.40-2.46, 1 Ni 2.61
Ni  0.6180  0.9641  0.4110  3 Si 2.40-2.46, 1 Ni 2.61



No. 4
VASP calculation (PBE-GGA) on Cr4GaOs after structural relaxation.

Properties
ΔH_f (0 K)	0.114	eV per atom
total moment	0.000	μB/f.u.
final energy	-8.68	eV/atom
space-group type	F-43m, No. 216

abc: 4.7423 4.7423 4.7423
angles: 60.00 60.00 60.00
With the nearest neighbours (Å) after each atom.
Fractional coordinates of all 6 atoms:
Cr  0.1229  0.1229  0.1229  6 Cr 2.33-2.41
Cr  0.1229  0.1229  0.6312  6 Cr 2.33-2.41
Cr  0.1229  0.6312  0.1229  6 Cr 2.33-2.41
Cr  0.6312  0.1229  0.1229  6 Cr 2.33-2.41
Ga  0.7500  0.7500  0.7500  12 Cr 2.78, 4 Os 2.90
Os  0.5000  0.5000  0.5000  12 Cr 2.78, 4 Ga 2.90



No. 5
VASP calculation (PBE-GGA) on ScAg2Ge after structural relaxation.

Properties
ΔH_f (0 K)	-0.103	eV per atom
total moment	0.000	μB/f.u.
final energy	-4.27	eV/atom
space-group type	I-42d, No. 122

abc: 10.5358 10.5358 10.5358
angles: 158.32 158.32 30.85
With the nearest neighbours (Å) after each atom.
Fractional coordinates of all 8 atoms:
Sc  0.0000  0.0000  0.0000  4 Ge 2.80, 4 Ag 2.91
Sc  0.7500  0.2500  0.5000  4 Ge 2.80, 4 Ag 2.91
Ag  0.1321  0.6250  0.0071  4 Ag 2.76-2.84, 2 Ge 2.89, 2 Sc 2.91
Ag  0.3750  0.3821  0.5071  4 Ag 2.76-2.84, 2 Ge 2.89, 2 Sc 2.91
Ag  0.6179  0.1250  0.9929  4 Ag 2.76-2.84, 2 Ge 2.89, 2 Sc 2.91
Ag  0.8750  0.8679  0.4929  4 Ag 2.76-2.84, 2 Ge 2.89, 2 Sc 2.91
Ge  0.2500  0.7500  0.5000  4 Sc 2.80, 4 Ag 2.89
Ge  0.5000  0.5000  0.0000  4 Sc 2.80, 4 Ag 2.89



No. 6
VASP calculation (PBE-GGA) on Tl2PtPb after structural relaxation.

Properties
ΔH_f (0 K)	-0.035	eV per atom
total moment	0.000	μB/f.u.
relative energy among the computed polymorphs	1.5	kJ/mol of atoms
final energy	-3.66	eV/atom
space-group type	P4mm, No. 99

abc: 3.4482 3.4482 8.8515
angles: 90.00 90.00 90.00
With the nearest neighbours (Å) after each atom.
Fractional coordinates of all 4 atoms:
Tl  0.0000  0.0000  0.0000  4 Pt 3.01
Tl  0.5000  0.5000  0.2876  8 Tl 3.45-3.52, 4 Pb 3.78
Pt  0.5000  0.5000  0.8003  4 Pb 2.95, 4 Tl 3.01
Pb  0.0000  0.0000  0.6133  4 Pt 2.95



No. 7
VASP calculation (PBE-GGA) on Ce8In2Os3 after structural relaxation.

Properties
ΔH_f (0 K)	-0.110	eV per atom
total moment	2.834	μB/f.u.
relative energy among the computed polymorphs	0.0	kJ/mol of atoms
final energy	-6.77	eV/atom
space-group type	C2/m, No. 12

abc: 9.4102 9.4102 4.2447
angles: 99.78 99.78 67.48
With the nearest neighbours (Å) after each atom.
Fractional coordinates of all 13 atoms:
Ce  0.0579  0.0579  0.2852  4 Ce 2.71-2.89
Ce  0.1186  0.6404  0.9264  2 Os 2.78-2.89, 1 Ce 2.89
Ce  0.3596  0.8814  0.0736  2 Os 2.78-2.89, 1 Ce 2.89
Ce  0.3816  0.3816  0.4469  4 Os 2.68-2.98
Ce  0.6184  0.6184  0.5531  4 Os 2.68-2.98
Ce  0.6404  0.1186  0.9264  2 Os 2.78-2.89, 1 Ce 2.89
Ce  0.8814  0.3596  0.0736  2 Os 2.78-2.89, 1 Ce 2.89
Ce  0.9421  0.9421  0.7148  4 Ce 2.71-2.89
In  0.2259  0.2259  0.8305  5 Ce 3.13-3.28
In  0.7741  0.7741  0.1695  5 Ce 3.13-3.28
Os  0.2745  0.7255  0.5000  6 Ce 2.78-2.98
Os  0.5000  0.5000  0.0000  4 Ce 2.68-2.91
Os  0.7255  0.2745  0.5000  6 Ce 2.78-2.98



No. 8
VASP calculation (PBE-GGA) on LaSm5Pt2 after structural relaxation.

Properties
ΔH_f (0 K)	-0.550	eV per atom
total moment	0.001	μB/f.u.
final energy	-5.63	eV/atom
space-group type	Cmcm, No. 63

abc: 7.0297 7.0297 18.8294
angles: 90.00 90.00 147.96
With the nearest neighbours (Å) after each atom.
Fractional coordinates of all 16 atoms:
La  0.2018  0.7982  0.7500  4 Pt 3.16
La  0.7982  0.2018  0.2500  4 Pt 3.16
Sm  0.0681  0.9319  0.2500  2 Pt 2.92
Sm  0.1689  0.8311  0.5557  2 Pt 2.92
Sm  0.1689  0.8311  0.9443  2 Pt 2.92
Sm  0.4416  0.5584  0.5898  2 Pt 2.95
Sm  0.4416  0.5584  0.9102  2 Pt 2.95
Sm  0.5584  0.4416  0.0898  2 Pt 2.95
Sm  0.5584  0.4416  0.4102  2 Pt 2.95
Sm  0.8311  0.1689  0.0557  2 Pt 2.92
Sm  0.8311  0.1689  0.4443  2 Pt 2.92
Sm  0.9319  0.0681  0.7500  2 Pt 2.92
Pt  0.2107  0.7893  0.1335  5 Sm 2.92-2.95, 2 La 3.16
Pt  0.2107  0.7893  0.3665  5 Sm 2.92-2.95, 2 La 3.16
Pt  0.7893  0.2107  0.6335  5 Sm 2.92-2.95, 2 La 3.16
Pt  0.7893  0.2107  0.8665  5 Sm 2.92-2.95, 2 La 3.16